# 1
{"formula": "Tb2Sm2In3", "functional": "PBE-GGA", "state": "optimized geometry", "volume_a3_per_atom": 29.54, "e_form_ev_per_atom": -0.29, "spacegroup": "P-1, No. 2", "relative_energy_mev_per_atom": 24.9, "cell": [[3.955, -0.007, 0.008], [-1.961, 6.109, -1.297], [-0.013, -1.726, 8.928]], "species": ["Tb", "In", "Tb", "Sm", "Sm", "In", "In"], "fractional_positions": [[0.368, 0.736, 0.178], [0.671, 0.344, 0.207], [0.632, 0.264, 0.822], [0.885, 0.768, 0.548], [0.115, 0.232, 0.452], [0.000, 0.000, 0.000], [0.329, 0.656, 0.793]]}

# 2
{"formula": "Tb4Sm2In", "functional": "PBE-GGA", "state": "optimized geometry", "volume_a3_per_atom": 31.56, "e_form_ev_per_atom": -0.04, "spacegroup": "P2_1/c, No. 14", "relative_energy_mev_per_atom": 27.9, "cell": [[10.768, 0.000, 0.000], [0.000, 5.076, -4.067], [0.000, -1.126, 8.985]], "species": ["Sm", "Tb", "Tb", "Tb", "In", "Tb", "Sm", "Sm", "Tb", "In", "Sm", "Tb", "Tb", "Tb"], "fractional_positions": [[0.041, 0.245, 0.745], [0.750, 0.153, 0.903], [0.654, 0.932, 0.432], [0.346, 0.068, 0.568], [0.000, 0.000, 0.000], [0.750, 0.653, 0.903], [0.959, 0.755, 0.255], [0.541, 0.255, 0.255], [0.250, 0.847, 0.097], [0.500, 0.500, 0.000], [0.459, 0.745, 0.745], [0.250, 0.347, 0.097], [0.846, 0.432, 0.432], [0.154, 0.568, 0.568]]}

# 3
{"formula": "Tb2Sm7In2", "functional": "PBE-GGA", "state": "optimized geometry", "volume_a3_per_atom": 32.91, "e_form_ev_per_atom": -0.04, "spacegroup": "Imm2, No. 44", "cell": [[3.678, 0.000, 0.000], [1.839, 10.416, -0.301], [1.839, 4.673, 9.314]], "species": ["Sm", "Sm", "In", "Sm", "Sm", "Tb", "Sm", "Sm", "Sm", "Tb", "In"], "fractional_positions": [[0.395, 0.700, 0.511], [0.824, 0.022, 0.330], [0.500, 0.337, 0.663], [0.151, 0.171, 0.527], [0.849, 0.473, 0.829], [0.723, 0.863, 0.691], [0.176, 0.670, 0.978], [0.500, 0.031, 0.969], [0.605, 0.489, 0.300], [0.277, 0.309, 0.137], [0.000, 0.789, 0.211]]}

# 4
{"formula": "Tb4Sm3In", "functional": "PBE-GGA", "state": "optimized geometry", "volume_a3_per_atom": 31.24, "e_form_ev_per_atom": -0.11, "spacegroup": "Pmn2_1, No. 31", "cell": [[6.224, 0.000, 0.000], [0.000, 7.111, 0.000], [0.000, 0.000, 11.296]], "species": ["Tb", "Tb", "In", "Sm", "Tb", "Sm", "Tb", "Tb", "Tb", "Sm", "In", "Sm", "Sm", "Tb", "Tb", "Sm"], "fractional_positions": [[0.490, 0.874, 0.737], [0.168, 0.876, 0.000], [0.150, 0.370, 0.000], [0.972, 0.616, 0.759], [0.990, 0.126, 0.763], [0.132, 0.372, 0.500], [0.668, 0.124, 0.500], [0.640, 0.130, 0.000], [0.990, 0.126, 0.237], [0.472, 0.384, 0.741], [0.650, 0.630, 0.500], [0.472, 0.384, 0.259], [0.632, 0.628, 0.000], [0.140, 0.870, 0.500], [0.490, 0.874, 0.263], [0.972, 0.616, 0.241]]}

# 5
{"formula": "TbSm5In8", "functional": "PBE-GGA", "state": "optimized geometry", "volume_a3_per_atom": 28.85, "e_form_ev_per_atom": -0.37, "spacegroup": "I-4, No. 82", "cell": [[8.066, 0.035, -0.060], [-2.696, 7.602, 0.060], [-2.673, -3.827, 6.578]], "species": ["Sm", "In", "In", "Sm", "In", "In", "Tb", "Sm", "Sm", "In", "Sm", "In", "In", "In"], "fractional_positions": [[0.374, 0.125, 0.003], [0.297, 0.256, 0.381], [0.620, 0.418, 0.873], [0.997, 0.370, 0.122], [0.619, 0.916, 0.874], [0.798, 0.253, 0.380], [0.250, 0.500, 0.750], [0.878, 0.875, 0.248], [0.752, 0.630, 0.626], [0.455, 0.582, 0.202], [0.500, 0.000, 0.500], [0.127, 0.747, 0.545], [0.126, 0.744, 0.042], [0.958, 0.084, 0.703]]}

# 6
{"formula": "Tb7SmIn2", "functional": "PBE-GGA", "state": "optimized geometry", "volume_a3_per_atom": 38.76, "e_form_ev_per_atom": 0.34, "spacegroup": "Cmmm, No. 65", "cell": [[-4.482, 1.737, 2.668], [2.432, -4.759, 7.184], [2.869, 8.454, -0.683]], "species": ["Tb", "In", "Tb", "Tb", "Tb", "In", "Tb", "Tb", "Tb", "Sm"], "fractional_positions": [[0.500, 0.059, 0.303], [0.500, 0.697, 0.303], [0.500, 0.303, 0.059], [0.000, 0.231, 0.769], [0.500, 0.500, 0.500], [0.500, 0.303, 0.697], [0.500, 0.941, 0.697], [0.000, 0.769, 0.231], [0.500, 0.697, 0.941], [0.000, 0.000, 0.000]]}

# 7
{"formula": "Tb7Sm2In2", "functional": "PBE-GGA", "state": "optimized geometry", "volume_a3_per_atom": 32.07, "e_form_ev_per_atom": -0.05, "spacegroup": "Imm2, No. 44", "cell": [[-0.835, 3.414, 0.966], [-4.677, -2.029, 10.008], [4.769, 0.237, 10.166]], "species": ["Tb", "Tb", "In", "Sm", "Tb", "Sm", "Tb", "Tb", "Tb", "In", "Tb"], "fractional_positions": [[0.862, 0.399, 0.877], [0.138, 0.123, 0.601], [0.746, 0.854, 0.655], [0.500, 0.394, 0.606], [0.838, 0.051, 0.272], [0.000, 0.739, 0.261], [0.630, 0.453, 0.287], [0.370, 0.713, 0.547], [0.162, 0.728, 0.949], [0.254, 0.345, 0.146], [0.500, 0.055, 0.945]]}

# 8
{"formula": "Tb6Sm5In", "functional": "PBE-GGA", "state": "optimized geometry", "volume_a3_per_atom": 31.66, "e_form_ev_per_atom": -0.06, "spacegroup": "Immm, No. 71", "cell": [[-0.112, 1.453, -4.769], [4.156, -8.457, -0.068], [-9.006, -1.411, 2.389]], "species": ["Tb", "Sm", "Tb", "Tb", "Tb", "Sm", "Tb", "Sm", "In", "Sm", "Tb", "Sm"], "fractional_positions": [[0.245, 0.410, 0.080], [0.000, 0.337, 0.663], [0.755, 0.590, 0.920], [0.245, 0.080, 0.410], [0.257, 0.757, 0.757], [0.500, 0.167, 0.833], [0.755, 0.920, 0.590], [0.500, 0.833, 0.167], [0.000, 0.000, 0.000], [0.500, 0.500, 0.500], [0.743, 0.243, 0.243], [0.000, 0.663, 0.337]]}

Number 1: magnetization 0.00 μB/cell, D(E_F) 7.00 states/eV/f.u.. Number 2: magnetization 0.00 μB/cell, D(E_F) 9.34 states/eV/f.u.. Number 3: magnetization 0.00 μB/cell, D(E_F) 13.30 states/eV/f.u.. Number 4: magnetization 0.00 μB/cell, D(E_F) 9.24 states/eV/f.u.. Number 5: magnetization 0.00 μB/cell, D(E_F) 12.48 states/eV/f.u.. Number 6: magnetization 2.03 μB/cell, D(E_F) 20.69 states/eV/f.u.. Number 7: magnetization 0.00 μB/cell, D(E_F) 14.41 states/eV/f.u.. Number 8: magnetization 0.00 μB/cell, D(E_F) 15.47 states/eV/f.u..